Entry 1:
PW2Br | PBE | optimized geometry

abc: 2.882 4.199 5.693
angles: 90.00 90.00 90.00
Sites, in units of the cell vectors:
1 P 0.000 0.000 0.000
2 W 0.000 0.500 0.500
3 W 0.500 0.500 0.000
4 Br 0.500 0.000 0.500

Offset from the most stable computed form   0.9921 eV/atom
Calculated density   11.54 Mg/m³
Space-group type   Pmmm (47)
Formation energy (no corrections)   1.091 eV/atom
Total magnetization   0.0 μB/cell

---

Entry 2:
PWBr4 | PBE | optimized geometry

abc: 6.042 6.042 6.042
angles: 60.00 60.00 60.00
Sites, in units of the cell vectors:
1 P 0.000 0.000 0.000
2 W 0.750 0.750 0.750
3 Br 0.376 0.376 0.376
4 Br 0.376 0.376 0.873
5 Br 0.376 0.873 0.376
6 Br 0.873 0.376 0.376

Calculated density   5.69 Mg/m³
Space-group type   F-43m (216)
Formation energy (no corrections)   1.798 eV/atom
Total magnetization   2.2 μB/cell

---

Entry 3:
PW2Br | PBE | optimized geometry

abc: 5.875 5.875 5.875
angles: 149.66 140.13 50.90
Sites, in units of the cell vectors:
1 P 0.000 0.000 0.000
2 W 0.177 0.677 0.500
3 W 0.449 0.449 0.000
4 Br 0.745 0.245 0.500

Offset from the most stable computed form   0.5993 eV/atom
Calculated density   12.16 Mg/m³
Space-group type   Imm2 (44)
Formation energy (no corrections)   0.699 eV/atom
Total magnetization   0.0 μB/cell

---

Entry 4:
PW2Br | PBE | optimized geometry

abc: 8.278 8.278 8.278
angles: 21.09 21.09 21.09
Sites, in units of the cell vectors:
1 P 0.000 0.000 0.000
2 W 0.258 0.258 0.258
3 W 0.742 0.742 0.742
4 Br 0.500 0.500 0.500

Offset from the most stable computed form   0.4663 eV/atom
Calculated density   12.35 Mg/m³
Space-group type   R-3m (166)
Formation energy (no corrections)   0.566 eV/atom
Total magnetization   0.0 μB/cell

---

Values of volume, in order: 68.89 155.99 65.35 64.35, all in Å³/cell.